A plane-wave DFT calculation with PBE-GGA was carried out for a relaxed ErGa4Rh crystal.

a = 7.213 Å, b = 7.213 Å, c = 5.184 Å
α = 90.00°, β = 90.00°, γ = 90.00°
Positions (direct):
Rh (0.500, 0.500, 0.500)
Ga (0.500, 0.833, 0.550)
Er (0.500, 0.500, 0.000)
Ga (0.000, 0.667, 0.950)
Ga (0.833, 0.500, 0.450)
Er (0.000, 0.000, 0.500)
Ga (0.333, 0.000, 0.050)
Ga (0.167, 0.500, 0.450)
Ga (0.667, 0.000, 0.050)
Ga (0.000, 0.333, 0.950)
Rh (0.000, 0.000, 0.000)
Ga (0.500, 0.167, 0.550)



A plane-wave DFT calculation with PBE-GGA was carried out for a relaxed Er3Ga4Rh2 crystal.

a = 4.307 Å, b = 5.574 Å, c = 8.278 Å
α = 103.18°, β = 90.00°, γ = 112.73°
Positions (direct):
Er (0.378, 0.755, 0.623)
Rh (0.296, 0.591, 0.246)
Ga (0.701, 0.403, 0.064)
Er (0.622, 0.245, 0.377)
Rh (0.704, 0.409, 0.754)
Ga (0.299, 0.597, 0.936)
Ga (0.914, 0.828, 0.348)
Er (0.000, 0.000, 0.000)
Ga (0.086, 0.172, 0.652)



no.,theoretical density (g/cm3),ΔH_f (0 K) (eV/atom)
1,6.8,-0.2251
2,9.2,-0.7396